Record 1
Computed, not measured: a geometry-optimized Rb2TlAgI6 structure at the PBEsol level of DFT.

The structure belongs to space group Fm-3m (No. 225); the cell edges are 11.746, 11.746 and 11.746 Å and the angles 90.00°, 90.00° and 90.00°. The asymmetric unit holds Rb at (0.250, 0.250, 0.250), Tl at (0.000, 0.000, 0.000), Ag at (0.000, 0.000, 0.500) and I at (0.000, 0.000, 0.257).

***

Record 2
Computed, not measured: a geometry-optimized ReAgI3 structure at the PBEsol level of DFT.

The structure belongs to space group Pm-3m (No. 221); the cell edges are 5.546, 5.546 and 5.546 Å and the angles 90.00°, 90.00° and 90.00°. The asymmetric unit holds Re at (0.000, 0.000, 0.000), Ag at (0.500, 0.500, 0.500) and I at (0.000, 0.500, 0.500).

***

Record 3
Computed, not measured: a geometry-optimized AgTe2RhI structure at the PBEsol level of DFT.

The calculation puts the offset from the most stable computed form at 343 kJ/mol of formula units.

The structure belongs to space group P4/mmm (No. 123); the cell edges are 5.279, 5.279 and 5.395 Å and the angles 90.00°, 90.00° and 90.00°. The asymmetric unit holds Ag at (0.000, 0.000, 0.000), Te at (0.000, 0.500, 0.000), Rh at (0.500, 0.500, 0.500) and I at (0.000, 0.000, 0.500).

***

Record 4
Computed, not measured: a geometry-optimized AgTe2RhI structure at the PBEsol level of DFT.

The calculation puts the offset from the most stable computed form at 0 kJ/mol of formula units.

The structure belongs to space group P4/mmm (No. 123); the cell edges are 5.101, 5.101 and 5.454 Å and the angles 90.00°, 90.00° and 90.00°. The asymmetric unit holds Ag at (0.000, 0.000, 0.000), Te at (0.000, 0.500, 0.500), Rh at (0.500, 0.500, 0.500) and I at (0.500, 0.500, 0.000).

***

One value per record, in order, for energy relative to the elements, uncorrected: -16.44 31.34 26.95 10.56 kcal/mol of atoms.